Entry from the Alexandria database: a PBEsol-optimized structure of Er2Si5Rh3 (meta-GGA SCAN).

volume	15.813	Å³ per atom
ρ	8.23	Mg/m³
DOS(E_F)	0.3527	states/eV/atom
formation energy (no corrections)	-1.057	eV/atom

abc: 8.0492 8.0492 8.0492
angles: 105.19 89.03 139.02
Fractional coordinates of all 20 atoms:
Er: 0.1325 0.2308 0.3633
Er: 0.3675 0.7308 0.0982
Er: 0.6325 0.2692 0.9018
Er: 0.8675 0.7692 0.6367
Si: 0.0296 0.7500 0.2796
Si: 0.1044 0.6595 0.7639
Si: 0.2500 0.2500 0.0000
Si: 0.3956 0.1595 0.5552
Si: 0.4704 0.7500 0.7204
Si: 0.5296 0.2500 0.2796
Si: 0.6044 0.8405 0.4448
Si: 0.7500 0.7500 0.0000
Si: 0.8956 0.3405 0.2361
Si: 0.9704 0.2500 0.7204
Rh: 0.1406 0.8911 0.0317
Rh: 0.2500 0.7500 0.5000
Rh: 0.3594 0.3911 0.7505
Rh: 0.6406 0.6089 0.2495
Rh: 0.7500 0.2500 0.5000
Rh: 0.8594 0.1089 0.9683